[1]
## PmTlH (GGA-PBE)

Data for crystalline PmTlH at its relaxed geometry.

The structure in CIF format:
```
data_PmTlH
_space_group_name_H-M_alt 'P 42/m m c'
_space_group_IT_number 131
_space_group_name_Hall '-P 4c 2'
_cell_length_a 8.550
_cell_length_b 8.550
_cell_length_c 3.899
_cell_angle_alpha 90.00
_cell_angle_beta 90.00
_cell_angle_gamma 90.00
loop_
_atom_site_label
_atom_site_type_symbol
_atom_site_fract_x
_atom_site_fract_y
_atom_site_fract_z
Pm1 Pm 0.000 0.256 0.000
Tl1 Tl 0.282 0.500 0.000
H1 H 0.000 0.134 0.500
```

Summary:
ΔE to the lowest computed polymorph: 24.3 kJ per mole of atoms

=====

[2]
## K2NpScTe4 (GGA-PBE)

Data for crystalline K2NpScTe4 at its relaxed geometry.

The structure in CIF format:
```
data_K2NpScTe4
_space_group_name_H-M_alt 'P 1 2/m 1'
_space_group_IT_number 10
_space_group_name_Hall '-P 2y'
_cell_length_a 7.716
_cell_length_b 4.436
_cell_length_c 8.585
_cell_angle_alpha 90.00
_cell_angle_beta 107.36
_cell_angle_gamma 90.00
loop_
_atom_site_label
_atom_site_type_symbol
_atom_site_fract_x
_atom_site_fract_y
_atom_site_fract_z
K1 K 0.000 0.000 0.000
K2 K 0.500 0.500 0.000
Np1 Np 0.000 0.500 0.500
Sc1 Sc 0.500 0.000 0.500
Te1 Te 0.249 0.000 0.706
Te2 Te 0.280 0.500 0.299
```

Summary:
uncorrected formation energy: -1.0580 eV per atom

=====

[3]
## Cu2Ge2Se (GGA-PBE)

Data for crystalline Cu2Ge2Se at its relaxed geometry.

The structure in CIF format:
```
data_Cu2Ge2Se
_space_group_name_H-M_alt 'P 4/m b m'
_space_group_IT_number 127
_space_group_name_Hall '-P 4 2ab'
_cell_length_a 6.796
_cell_length_b 6.796
_cell_length_c 3.698
_cell_angle_alpha 90.00
_cell_angle_beta 90.00
_cell_angle_gamma 90.00
loop_
_atom_site_label
_atom_site_type_symbol
_atom_site_fract_x
_atom_site_fract_y
_atom_site_fract_z
Cu1 Cu 0.132 0.368 0.000
Ge1 Ge 0.155 0.655 0.500
Se1 Se 0.000 0.000 0.000
```

Summary:
ΔE to the lowest computed polymorph: 0.0 kJ per mole of atoms
uncorrected formation energy: 0.1821 eV per atom